No. 1
# Rb2BaNaCl

A relaxed Rb2BaNaCl crystal (PBE, Alexandria).

abc: 6.732 6.732 6.288
angles: 90.00 90.00 90.00
Element x y z (fractional)
Rb  0.500  0.000  0.000
Rb  0.000  0.500  0.000
Na  0.500  0.500  0.500
Cl  0.000  0.000  0.000
Ba  0.000  0.000  0.500

=====

No. 2
# AcPuMnSi2

A relaxed AcPuMnSi2 crystal (PBE, Alexandria).

abc: 4.185 4.185 6.614
angles: 108.44 108.44 90.00
Element x y z (fractional)
Ac  0.000  0.000  0.000
Pu  0.750  0.250  0.500
Si  0.606  0.606  0.212
Si  0.394  0.394  0.788
Mn  0.250  0.750  0.500

=====

Taking the records one at a time from the top gives D(E_F) values of 0.790; 2.413 states/eV/atom.
Taking the records one at a time from the top gives energy relative to the elements, uncorrected values of -0.650; 0.200 eV/atom.